DFT (PBE) results for an optimized crystal structure of EuN.

## Properties
The calculation puts the density of states at the Fermi level at 2.2 states/eV/cell. The value obtained for the magnetization is 3.000 μB per atom. The uncorrected formation energy is -0.824 eV per atom.

Cell lengths 3.5913, 3.5913, 3.5913 Å; angles 60.00, 60.00, 60.00 degrees
Closest atoms and distances in Å follow each position.
Atoms (fractional coordinates):
Eu (0.0000, 0.0000, 0.0000)  6 N 2.54
N (0.5000, 0.5000, 0.5000)  6 Eu 2.54

***

DFT (PBE) results for an optimized crystal structure of Ac3Tm2Tl6.

## Properties
The calculation puts the density of states at the Fermi level at 9.1 states/eV/cell. The value obtained for the magnetization is 0.000 μB per atom. The calculated formation energy comes out at -181 meV per atom.

Cell lengths 5.0685, 5.0685, 14.8631 Å; angles 99.82, 99.82, 90.00 degrees
Closest atoms and distances in Å follow each position.
Atoms (fractional coordinates):
Ac (0.0000, 0.0000, 0.0000)  8 Tm 3.93, 8 Tl 4.10
Ac (0.8037, 0.8037, 0.6074)  9 Tl 3.38-3.60
Ac (0.1963, 0.1963, 0.3926)  9 Tl 3.38-3.60
Tm (0.4442, 0.4442, 0.8884)  4 Tl 3.00, 1 Tm 3.22
Tm (0.5558, 0.5558, 0.1116)  4 Tl 3.00, 1 Tm 3.22
Tl (0.1116, 0.6116, 0.2233)  2 Tm 3.00, 2 Tl 3.33
Tl (0.6116, 0.1116, 0.2233)  2 Tm 3.00, 2 Tl 3.33
Tl (0.8884, 0.3884, 0.7767)  2 Tm 3.00, 2 Tl 3.33
Tl (0.3884, 0.8884, 0.7767)  2 Tm 3.00, 2 Tl 3.33
Tl (0.6864, 0.6864, 0.3728)  4 Tl 3.33, 5 Ac 3.38-3.60
Tl (0.3136, 0.3136, 0.6272)  4 Tl 3.33, 5 Ac 3.38-3.60

***

DFT (PBE) results for an optimized crystal structure of Pu3Hf5H12.

## Properties
The calculation puts the density of states at the Fermi level at 103.2 states/eV/cell. The total DFT energy (no corrections) is -6.951 eV/atom. The value obtained for the magnetization is 0.800 μB per atom.

Cell lengths 10.5944, 10.5944, 10.5944 Å; angles 109.47, 109.47, 109.47 degrees
Closest atoms and distances in Å follow each position.
Atoms (fractional coordinates):
Pu (0.7500, 0.3750, 0.1250)  8 H 2.24-2.25
Pu (0.8750, 0.7500, 0.1250)  8 H 2.24-2.25
Pu (0.3750, 0.7500, 0.6250)  8 H 2.24-2.25
Pu (0.2500, 0.1250, 0.3750)  8 H 2.24-2.25
Pu (0.8750, 0.1250, 0.2500)  8 H 2.24-2.25
Pu (0.3750, 0.6250, 0.2500)  8 H 2.24-2.25
Pu (0.6250, 0.3750, 0.7500)  8 H 2.24-2.25
Pu (0.1250, 0.8750, 0.7500)  8 H 2.24-2.25
Pu (0.7500, 0.8750, 0.6250)  8 H 2.24-2.25
Pu (0.6250, 0.2500, 0.3750)  8 H 2.24-2.25
Pu (0.1250, 0.2500, 0.8750)  8 H 2.24-2.25
Pu (0.2500, 0.6250, 0.8750)  8 H 2.24-2.25
Hf (0.1250, 0.3750, 0.2500)  4 H 2.02
Hf (0.0000, 0.5000, 0.0000)  6 H 2.02
Hf (0.0000, 0.0000, 0.0000)  6 H 2.02
Hf (0.3750, 0.2500, 0.1250)  4 H 2.02
Hf (0.5000, 0.0000, 0.5000)  6 H 2.02
Hf (0.5000, 0.5000, 0.0000)  6 H 2.02
Hf (0.1250, 0.7500, 0.3750)  4 H 2.02
Hf (0.7500, 0.1250, 0.8750)  4 H 2.02
Hf (0.7500, 0.6250, 0.3750)  4 H 2.02
Hf (0.3750, 0.1250, 0.7500)  4 H 2.02
Hf (0.6250, 0.8750, 0.2500)  4 H 2.02
Hf (0.5000, 0.5000, 0.5000)  6 H 2.02
Hf (0.5000, 0.0000, 0.0000)  6 H 2.02
Hf (0.0000, 0.0000, 0.5000)  6 H 2.02
Hf (0.2500, 0.3750, 0.6250)  4 H 2.02
Hf (0.2500, 0.8750, 0.1250)  4 H 2.02
Hf (0.0000, 0.5000, 0.5000)  6 H 2.02
Hf (0.8750, 0.2500, 0.6250)  4 H 2.02
Hf (0.6250, 0.7500, 0.8750)  4 H 2.02
Hf (0.8750, 0.6250, 0.7500)  4 H 2.02
H (0.7180, 0.1375, 0.0554)  2 Hf 2.02, 2 Pu 2.24-2.25
H (0.3374, 0.5554, 0.4179)  2 Hf 2.02, 2 Pu 2.24-2.25
H (0.9446, 0.3625, 0.2820)  2 Hf 2.02, 2 Pu 2.24-2.25
H (0.5554, 0.2180, 0.1375)  2 Hf 2.02, 2 Pu 2.24-2.25
H (0.5804, 0.7180, 0.6626)  2 Hf 2.02, 2 Pu 2.24-2.25
H (0.9446, 0.5821, 0.1626)  2 Hf 2.02, 2 Pu 2.24-2.25
H (0.3374, 0.7820, 0.4196)  2 Hf 2.02, 2 Pu 2.24-2.25
H (0.0821, 0.9196, 0.1375)  2 Hf 2.02, 2 Pu 2.24-2.25
H (0.5821, 0.9446, 0.6626)  2 Hf 2.02, 2 Pu 2.24-2.25
H (0.7180, 0.5804, 0.1626)  2 Hf 2.02, 2 Pu 2.24-2.25
H (0.7820, 0.4446, 0.3625)  2 Hf 2.02, 2 Pu 2.24-2.25
H (0.8374, 0.9179, 0.0554)  2 Hf 2.02, 2 Pu 2.24-2.25
H (0.1375, 0.7180, 0.5554)  2 Hf 2.02, 2 Pu 2.24-2.25
H (0.3625, 0.4179, 0.0804)  2 Hf 2.02, 2 Pu 2.24-2.25
H (0.0804, 0.9179, 0.3625)  2 Hf 2.02, 2 Pu 2.24-2.25
H (0.4196, 0.1375, 0.5821)  2 Hf 2.02, 2 Pu 2.24-2.25
H (0.0804, 0.1626, 0.2180)  2 Hf 2.02, 2 Pu 2.24-2.25
H (0.4446, 0.6626, 0.0821)  2 Hf 2.02, 2 Pu 2.24-2.25
H (0.8374, 0.9196, 0.2820)  2 Hf 2.02, 2 Pu 2.24-2.25
H (0.1375, 0.4196, 0.0821)  2 Hf 2.02, 2 Pu 2.24-2.25
H (0.3625, 0.9446, 0.7820)  2 Hf 2.02, 2 Pu 2.24-2.25
H (0.5821, 0.6375, 0.4196)  2 Hf 2.02, 2 Pu 2.24-2.25
H (0.9179, 0.8374, 0.5554)  2 Hf 2.02, 2 Pu 2.24-2.25
H (0.7820, 0.3374, 0.9196)  2 Hf 2.02, 2 Pu 2.24-2.25
H (0.4179, 0.3625, 0.5804)  2 Hf 2.02, 2 Pu 2.24-2.25
H (0.0821, 0.1626, 0.4446)  2 Hf 2.02, 2 Pu 2.24-2.25
H (0.2180, 0.6626, 0.0804)  2 Hf 2.02, 2 Pu 2.24-2.25
H (0.1626, 0.0804, 0.7180)  2 Hf 2.02, 2 Pu 2.24-2.25
H (0.6375, 0.0554, 0.2180)  2 Hf 2.02, 2 Pu 2.24-2.25
H (0.8625, 0.5804, 0.9179)  2 Hf 2.02, 2 Pu 2.24-2.25
H (0.5554, 0.3374, 0.9179)  2 Hf 2.02, 2 Pu 2.24-2.25
H (0.5804, 0.8625, 0.4179)  2 Hf 2.02, 2 Pu 2.24-2.25
H (0.9196, 0.8374, 0.7820)  2 Hf 2.02, 2 Pu 2.24-2.25
H (0.9196, 0.0821, 0.6375)  2 Hf 2.02, 2 Pu 2.24-2.25
H (0.8625, 0.2820, 0.4446)  2 Hf 2.02, 2 Pu 2.24-2.25
H (0.1626, 0.0821, 0.9446)  2 Hf 2.02, 2 Pu 2.24-2.25
H (0.6375, 0.5821, 0.9196)  2 Hf 2.02, 2 Pu 2.24-2.25
H (0.4179, 0.0554, 0.3374)  2 Hf 2.02, 2 Pu 2.24-2.25
H (0.2820, 0.4196, 0.8374)  2 Hf 2.02, 2 Pu 2.24-2.25
H (0.2180, 0.5554, 0.6375)  2 Hf 2.02, 2 Pu 2.24-2.25
H (0.9179, 0.0804, 0.8625)  2 Hf 2.02, 2 Pu 2.24-2.25
H (0.6626, 0.2180, 0.5804)  2 Hf 2.02, 2 Pu 2.24-2.25
H (0.4446, 0.7820, 0.8625)  2 Hf 2.02, 2 Pu 2.24-2.25
H (0.0554, 0.4179, 0.8374)  2 Hf 2.02, 2 Pu 2.24-2.25
H (0.4196, 0.2820, 0.3374)  2 Hf 2.02, 2 Pu 2.24-2.25
H (0.0554, 0.6375, 0.7180)  2 Hf 2.02, 2 Pu 2.24-2.25
H (0.6626, 0.4446, 0.5821)  2 Hf 2.02, 2 Pu 2.24-2.25
H (0.2820, 0.8625, 0.9446)  2 Hf 2.02, 2 Pu 2.24-2.25